Entry 1:
The following is a DFT calculation (GGA-PBE) of Ac2SbAu after structural relaxation.

Properties
formation energy (no corrections)	-0.929	eV per atom
polymorph energy (0 for the lowest one)	0.000	eV per atom
D(E_F)	0.736	states/eV per atom

a = 4.5005 Å, b = 25.7575 Å, c = 4.8751 Å
α = 90.00°, β = 90.00°, γ = 90.00°
Space group Cmcm (No. 63)
One atom of each set of equivalent atoms:
Ac: 0.0000 0.0604 0.2500 x4
Ac: 0.0000 0.3181 0.2500 x4
Sb: 0.0000 0.1879 0.2500 x4
Au: 0.0000 0.4600 0.2500 x4


Entry 2:
The following is a DFT calculation (GGA-PBE) of Ac3SbAu after structural relaxation.

Properties
formation energy (no corrections)	-0.344	eV per atom
D(E_F)	0.890	states/eV per atom

a = 5.9824 Å, b = 5.9824 Å, c = 5.9824 Å
α = 90.00°, β = 90.00°, γ = 90.00°
Space group Pm-3m (No. 221)
One atom of each set of equivalent atoms:
Ac: 0.0000 0.0000 0.5000 x3
Sb: 0.5000 0.5000 0.5000 x1
Au: 0.0000 0.0000 0.0000 x1


Entry 3:
The following is a DFT calculation (GGA-PBE) of Ac2SbAu3 after structural relaxation.

Properties
formation energy (no corrections)	-0.883	eV per atom
D(E_F)	0.503	states/eV per atom

a = 8.0916 Å, b = 9.8153 Å, c = 16.7609 Å
α = 90.00°, β = 90.00°, γ = 90.00°
Space group Fmmm (No. 69)
One atom of each set of equivalent atoms:
Ac: 0.2366 0.0000 0.0000 x8
Ac: 0.2500 0.2500 0.2500 x8
Sb: 0.0000 0.0000 0.3347 x8
Au: 0.0000 0.0000 0.1655 x8
Au: 0.0000 0.2489 0.0833 x16


Entry 4:
The following is a DFT calculation (GGA-PBE) of AcSbAu6 after structural relaxation.

Properties
formation energy (no corrections)	-0.217	eV per atom
D(E_F)	0.212	states/eV per atom

a = 5.6566 Å, b = 5.6566 Å, c = 5.6566 Å
α = 90.00°, β = 90.00°, γ = 90.00°
Space group Pm-3 (No. 200)
One atom of each set of equivalent atoms:
Ac: 0.0000 0.0000 0.0000 x1
Sb: 0.5000 0.5000 0.5000 x1
Au: 0.0000 0.2536 0.5000 x6


Entry 5:
The following is a DFT calculation (GGA-PBE) of Ac3Sb3Au8 after structural relaxation.

Properties
formation energy (no corrections)	-0.642	eV per atom
D(E_F)	0.417	states/eV per atom

a = 17.3952 Å, b = 4.7481 Å, c = 10.1778 Å
α = 90.00°, β = 124.16°, γ = 90.00°
Space group C2/m (No. 12)
One atom of each set of equivalent atoms:
Ac: 0.0000 0.0000 0.0000 x2
Ac: 0.1760 0.5000 0.6865 x4
Sb: 0.0000 0.0000 0.5000 x2
Sb: 0.1739 0.5000 0.2960 x4
Au: 0.0000 0.5000 0.2507 x4
Au: 0.1236 0.0000 0.8480 x4
Au: 0.1383 0.0000 0.4081 x4
Au: 0.1813 0.5000 0.0322 x4


Entry 6:
The following is a DFT calculation (GGA-PBE) of Ac4Sb2Au after structural relaxation.

Properties
formation energy (no corrections)	-0.566	eV per atom
D(E_F)	0.648	states/eV per atom

a = 5.7511 Å, b = 5.7511 Å, c = 17.6343 Å
α = 90.00°, β = 90.00°, γ = 90.00°
Space group I4/mmm (No. 139)
One atom of each set of equivalent atoms:
Ac: 0.0000 0.0000 0.1814 x4
Ac: 0.0000 0.5000 0.0000 x4
Sb: 0.0000 0.0000 0.3694 x4
Au: 0.0000 0.0000 0.0000 x2


> Among the records above, which one has the lowest formation energy (no corrections)?

Ac2SbAu